# PBE NdTh3, relaxed
data_NdTh3
_chemical_formula_sum 'Nd2 Th6'
_symmetry_space_group_name_H-M 'P 63/m m c'
_symmetry_Int_Tables_number 194
_symmetry_space_group_name_Hall '-P 6c 2c'
_cell_length_a 7.1849
_cell_length_b 7.1849
_cell_length_c 5.9443
_cell_angle_alpha 90.00
_cell_angle_beta 90.00
_cell_angle_gamma 120.00
loop_
_atom_site_label
_atom_site_type_symbol
_atom_site_fract_x
_atom_site_fract_y
_atom_site_fract_z
Nd1 Nd 0.3333 0.6667 0.2500
Th1 Th 0.1667 0.3335 0.7500
# - N(E_F): 7.9 states/eV per cell
# - Spin magnetization: 0.00 μB per formula unit
# - Final energy: -6.673 eV/atom
# - ρ: 10.50 Mg/m³

# PBE Ho2TiAl3Pt4, relaxed
data_Ho2TiAl3Pt4
_chemical_formula_sum 'Ho2 Ti1 Al3 Pt4'
_symmetry_space_group_name_H-M 'P -4 m 2'
_symmetry_Int_Tables_number 115
_symmetry_space_group_name_Hall 'P -4 -2'
_cell_length_a 4.118
_cell_length_b 4.118
_cell_length_c 10.952
_cell_angle_alpha 90.00
_cell_angle_beta 90.00
_cell_angle_gamma 90.00
loop_
_atom_site_label
_atom_site_type_symbol
_atom_site_fract_x
_atom_site_fract_y
_atom_site_fract_z
Ho1 Ho 0.000 0.500 0.246
Ti1 Ti 0.000 0.000 0.500
Al1 Al 0.000 0.500 0.869
Al2 Al 0.500 0.500 0.500
Pt1 Pt 0.000 0.000 0.000
Pt2 Pt 0.000 0.500 0.643
Pt3 Pt 0.500 0.500 0.000
# - N(E_F): 7.7 states/eV per cell
# - Spin magnetization: 0.00 μB per formula unit
# - Final energy: -6.306 eV/atom
# - ρ: 11.08 Mg/m³

# PBE Pr3Re2Si4, relaxed
data_Pr3Re2Si4
_chemical_formula_sum 'Pr6 Re4 Si8'
_symmetry_space_group_name_H-M 'C 1 2/m 1'
_symmetry_Int_Tables_number 12
_symmetry_space_group_name_Hall '-C 2y'
_cell_length_a 11.305
_cell_length_b 4.283
_cell_length_c 8.346
_cell_angle_alpha 90.00
_cell_angle_beta 108.91
_cell_angle_gamma 90.00
loop_
_atom_site_label
_atom_site_type_symbol
_atom_site_fract_x
_atom_site_fract_y
_atom_site_fract_z
Pr1 Pr 0.000 0.000 0.000
Pr2 Pr 0.117 0.500 0.699
Re1 Re 0.188 0.500 0.354
Si1 Si 0.110 0.000 0.410
Si2 Si 0.215 0.500 0.079
# - N(E_F): 10.2 states/eV per cell
# - Spin magnetization: 0.00 μB per formula unit
# - ΔE_f (raw): -0.508 eV per atom
# - Final energy: -7.278 eV/atom
# - ρ: 7.88 Mg/m³

# PBE YMgCu5, relaxed
data_YMgCu5
_chemical_formula_sum 'Y4 Mg4 Cu20'
_symmetry_space_group_name_H-M 'P n m a'
_symmetry_Int_Tables_number 62
_symmetry_space_group_name_Hall '-P 2ac 2n'
_cell_length_a 8.245
_cell_length_b 5.045
_cell_length_c 10.447
_cell_angle_alpha 90.00
_cell_angle_beta 90.00
_cell_angle_gamma 90.00
loop_
_atom_site_label
_atom_site_type_symbol
_atom_site_fract_x
_atom_site_fract_y
_atom_site_fract_z
Y1 Y 0.247 0.250 0.060
Mg1 Mg 0.137 0.750 0.861
Cu1 Cu 0.052 0.750 0.104
Cu2 Cu 0.068 0.005 0.312
Cu3 Cu 0.087 0.250 0.517
Cu4 Cu 0.187 0.250 0.744
# - N(E_F): 15.0 states/eV per cell
# - Spin magnetization: 0.00 μB per formula unit
# - Final energy: -4.277 eV/atom
# - ρ: 6.59 Mg/m³

# PBE CaYSn, relaxed
data_CaYSn
_chemical_formula_sum 'Ca1 Y1 Sn1'
_symmetry_space_group_name_H-M 'P 3 m 1'
_symmetry_Int_Tables_number 156
_symmetry_space_group_name_Hall 'P 3 -2"'
_cell_length_a 5.2388
_cell_length_b 5.2388
_cell_length_c 3.7880
_cell_angle_alpha 90.00
_cell_angle_beta 90.00
_cell_angle_gamma 120.00
loop_
_atom_site_label
_atom_site_type_symbol
_atom_site_fract_x
_atom_site_fract_y
_atom_site_fract_z
Ca1 Ca 0.0000 0.0000 0.0000
Y1 Y 0.6667 0.3333 0.5487
Sn1 Sn 0.3333 0.6667 0.2848
# - N(E_F): 4.0 states/eV per cell
# - Spin magnetization: 0.00 μB per formula unit
# - Final energy: -4.518 eV/atom
# - ρ: 4.57 Mg/m³

# PBE CaY2Mo, relaxed
data_CaY2Mo
_chemical_formula_sum 'Ca1 Y2 Mo1'
_symmetry_space_group_name_H-M 'P 4/m m m'
_symmetry_Int_Tables_number 123
_symmetry_space_group_name_Hall '-P 4 2'
_cell_length_a 4.870
_cell_length_b 4.870
_cell_length_c 4.448
_cell_angle_alpha 90.00
_cell_angle_beta 90.00
_cell_angle_gamma 90.00
loop_
_atom_site_label
_atom_site_type_symbol
_atom_site_fract_x
_atom_site_fract_y
_atom_site_fract_z
Ca1 Ca 0.000 0.000 0.000
Y1 Y 0.000 0.500 0.500
Mo1 Mo 0.500 0.500 0.000
# - N(E_F): 5.2 states/eV per cell
# - Spin magnetization: 0.00 μB per formula unit
# - Final energy: -5.922 eV/atom
# - ρ: 4.94 Mg/m³